Record 1
# InCu2Te PBE-GGA relaxed
data_InCu2Te
_chemical_formula_sum 'In1 Cu2 Te1'
_space_group_name_H-M_alt 'P 1'
_space_group_IT_number 1
_cell_length_a 4.483
_cell_length_b 4.483
_cell_length_c 3.890
_cell_angle_alpha 90.00
_cell_angle_beta 90.00
_cell_angle_gamma 90.00
loop_
_space_group_symop_operation_xyz
'x,y,z'
loop_
_atom_site_label
_atom_site_type_symbol
_atom_site_fract_x
_atom_site_fract_y
_atom_site_fract_z
_atom_site_occupancy
Cu1 Cu 0.000 0.000 0.000 1
Te1 Te 0.000 0.500 0.500 1
Cu2 Cu 0.500 0.500 0.000 1
In1 In 0.500 0.000 0.500 1
# Raw formation energy (eV/atom): 0.25
# V (Å³/atom): 19.5
# Fermi-level density of states (states/eV per cell): 1.026
# Space group: No. 123

***

Record 2
# Sm3Dy7Tm2 PBE-GGA relaxed
data_Sm3Dy7Tm2
_chemical_formula_sum 'Sm3 Dy7 Tm2'
_space_group_name_H-M_alt 'P 1'
_space_group_IT_number 1
_cell_length_a 3.551
_cell_length_b 5.809
_cell_length_c 18.700
_cell_angle_alpha 93.14
_cell_angle_beta 90.00
_cell_angle_gamma 90.00
loop_
_space_group_symop_operation_xyz
'x,y,z'
loop_
_atom_site_label
_atom_site_type_symbol
_atom_site_fract_x
_atom_site_fract_y
_atom_site_fract_z
_atom_site_occupancy
Dy1 Dy 0.500 0.743 0.463 1
Tm1 Tm 0.500 0.289 0.707 1
Sm1 Sm 0.000 0.778 0.634 1
Dy2 Dy 0.000 0.000 0.000 1
Dy3 Dy 0.500 0.257 0.537 1
Dy4 Dy 0.500 0.191 0.178 1
Dy5 Dy 0.000 0.689 0.144 1
Dy6 Dy 0.500 0.809 0.822 1
Tm2 Tm 0.500 0.711 0.293 1
Sm2 Sm 0.500 0.500 0.000 1
Dy7 Dy 0.000 0.311 0.856 1
Sm3 Sm 0.000 0.222 0.366 1
# V (Å³/atom): 32.1
# Fermi-level density of states (states/eV per cell): 15.212
# Space group: No. 10
# Energy relative to the elements (eV/atom): 0.0893

***

Record 3
# CsRbPb2N PBE-GGA relaxed
data_CsRbPb2N
_chemical_formula_sum 'Cs1 Rb1 Pb2 N1'
_space_group_name_H-M_alt 'P 1'
_space_group_IT_number 1
_cell_length_a 6.329
_cell_length_b 7.213
_cell_length_c 6.329
_cell_angle_alpha 90.00
_cell_angle_beta 90.00
_cell_angle_gamma 90.00
loop_
_space_group_symop_operation_xyz
'x,y,z'
loop_
_atom_site_label
_atom_site_type_symbol
_atom_site_fract_x
_atom_site_fract_y
_atom_site_fract_z
_atom_site_occupancy
Pb1 Pb 0.500 0.000 0.000 1
Pb2 Pb 0.000 0.000 0.500 1
Cs1 Cs 0.000 0.500 0.000 1
Rb1 Rb 0.000 0.000 0.000 1
N1 N 0.500 0.500 0.500 1
# Raw formation energy (eV/atom): 1.90
# V (Å³/atom): 57.8
# Fermi-level density of states (states/eV per cell): 11.378
# Space group: No. 123

***

Record 4
# Sm2HoSn9 PBE-GGA relaxed
data_Sm2HoSn9
_chemical_formula_sum 'Sm2 Ho1 Sn9'
_space_group_name_H-M_alt 'P 1'
_space_group_IT_number 1
_cell_length_a 4.810
_cell_length_b 4.810
_cell_length_c 13.781
_cell_angle_alpha 90.00
_cell_angle_beta 90.00
_cell_angle_gamma 90.00
loop_
_space_group_symop_operation_xyz
'x,y,z'
loop_
_atom_site_label
_atom_site_type_symbol
_atom_site_fract_x
_atom_site_fract_y
_atom_site_fract_z
_atom_site_occupancy
Sn1 Sn 0.000 0.500 0.500 1
Sn2 Sn 0.000 0.500 0.836 1
Sn3 Sn 0.500 0.500 0.668 1
Sn4 Sn 0.500 0.000 0.836 1
Sn5 Sn 0.500 0.500 0.000 1
Sn6 Sn 0.000 0.500 0.164 1
Ho1 Ho 0.000 0.000 0.000 1
Sn7 Sn 0.500 0.000 0.500 1
Sm1 Sm 0.000 0.000 0.332 1
Sm2 Sm 0.000 0.000 0.668 1
Sn8 Sn 0.500 0.500 0.332 1
Sn9 Sn 0.500 0.000 0.164 1
# V (Å³/atom): 26.6
# Fermi-level density of states (states/eV per cell): 5.763
# Space group: No. 123
# Energy relative to the elements (eV/atom): -0.4527

***

Record 5
# Tb7Dy3Tl PBE-GGA relaxed
data_Tb7Dy3Tl
_chemical_formula_sum 'Tb7 Dy3 Tl1'
_space_group_name_H-M_alt 'P 1'
_space_group_IT_number 1
_cell_length_a 8.517
_cell_length_b 6.975
_cell_length_c 6.975
_cell_angle_alpha 120.00
_cell_angle_beta 90.00
_cell_angle_gamma 90.00
loop_
_space_group_symop_operation_xyz
'x,y,z'
loop_
_atom_site_label
_atom_site_type_symbol
_atom_site_fract_x
_atom_site_fract_y
_atom_site_fract_z
_atom_site_occupancy
Tb1 Tb 0.121 0.168 0.336 1
Tb2 Tb 0.447 0.830 0.170 1
Tb3 Tb 0.447 0.830 0.661 1
Tl1 Tl 0.451 0.333 0.667 1
Tb4 Tb 0.447 0.339 0.170 1
Tb5 Tb 0.111 0.667 0.333 1
Tb6 Tb 0.121 0.168 0.832 1
Dy1 Dy 0.783 0.501 0.499 1
Dy2 Dy 0.783 0.501 0.002 1
Tb7 Tb 0.121 0.664 0.832 1
Dy3 Dy 0.783 0.998 0.499 1
# V (Å³/atom): 32.6
# Fermi-level density of states (states/eV per cell): 16.384
# Space group: No. 156
# Energy relative to the elements (eV/atom): 0.1444

***

Record 6
# EuZnH PBE-GGA relaxed
data_EuZnH
_chemical_formula_sum 'Eu2 Zn2 H2'
_space_group_name_H-M_alt 'P 1'
_space_group_IT_number 1
_cell_length_a 3.184
_cell_length_b 3.923
_cell_length_c 8.667
_cell_angle_alpha 90.00
_cell_angle_beta 100.59
_cell_angle_gamma 90.00
loop_
_space_group_symop_operation_xyz
'x,y,z'
loop_
_atom_site_label
_atom_site_type_symbol
_atom_site_fract_x
_atom_site_fract_y
_atom_site_fract_z
_atom_site_occupancy
Eu1 Eu 0.416 0.250 0.832 1
H1 H 0.043 0.250 0.086 1
Zn1 Zn 0.741 0.250 0.482 1
Zn2 Zn 0.259 0.750 0.518 1
Eu2 Eu 0.584 0.750 0.168 1
H2 H 0.957 0.750 0.914 1
# DFT total energy (eV per atom): -5.1627
# V (Å³/atom): 17.7
# Fermi-level density of states (states/eV per cell): 2.002
# Space group: No. 63

***

Record 7
# Li2PuAg PBE-GGA relaxed
data_Li2PuAg
_chemical_formula_sum 'Li2 Pu1 Ag1'
_space_group_name_H-M_alt 'P 1'
_space_group_IT_number 1
_cell_length_a 2.923
_cell_length_b 2.923
_cell_length_c 10.701
_cell_angle_alpha 82.15
_cell_angle_beta 82.15
_cell_angle_gamma 60.00
loop_
_space_group_symop_operation_xyz
'x,y,z'
loop_
_atom_site_label
_atom_site_type_symbol
_atom_site_fract_x
_atom_site_fract_y
_atom_site_fract_z
_atom_site_occupancy
Ag1 Ag 0.500 0.500 0.500 1
Li1 Li 0.096 0.096 0.712 1
Li2 Li 0.904 0.904 0.288 1
Pu1 Pu 0.000 0.000 0.000 1
# V (Å³/atom): 19.5
# Fermi-level density of states (states/eV per cell): 7.211
# Space group: No. 166
# Energy relative to the elements (eV/atom): 0.1493

***

Record 8
# BeFe2Co PBE-GGA relaxed
data_BeFe2Co
_chemical_formula_sum 'Be1 Fe2 Co1'
_space_group_name_H-M_alt 'P 1'
_space_group_IT_number 1
_cell_length_a 8.004
_cell_length_b 8.004
_cell_length_c 8.004
_cell_angle_alpha 17.77
_cell_angle_beta 17.77
_cell_angle_gamma 17.77
loop_
_space_group_symop_operation_xyz
'x,y,z'
loop_
_atom_site_label
_atom_site_type_symbol
_atom_site_fract_x
_atom_site_fract_y
_atom_site_fract_z
_atom_site_occupancy
Be1 Be 0.498 0.498 0.498 1
Fe1 Fe 0.002 0.002 0.002 1
Co1 Co 0.755 0.755 0.755 1
Fe2 Fe 0.244 0.244 0.244 1
# V (Å³/atom): 10.4
# Fermi-level density of states (states/eV per cell): 3.853
# Space group: No. 160
# Energy relative to the elements (eV/atom): 0.0087

***

Record 9
# Cd2Ag8Bi PBE-GGA relaxed
data_Cd2Ag8Bi
_chemical_formula_sum 'Cd2 Ag8 Bi1'
_space_group_name_H-M_alt 'P 1'
_space_group_IT_number 1
_cell_length_a 5.779
_cell_length_b 7.656
_cell_length_c 7.656
_cell_angle_alpha 43.46
_cell_angle_beta 75.51
_cell_angle_gamma 75.51
loop_
_space_group_symop_operation_xyz
'x,y,z'
loop_
_atom_site_label
_atom_site_type_symbol
_atom_site_fract_x
_atom_site_fract_y
_atom_site_fract_z
_atom_site_occupancy
Ag1 Ag 0.666 0.649 0.155 1
Ag2 Ag 0.334 0.845 0.351 1
Cd1 Cd 0.393 0.783 0.783 1
Ag3 Ag 0.226 0.431 0.431 1
Ag4 Ag 0.334 0.351 0.845 1
Ag5 Ag 0.774 0.569 0.569 1
Ag6 Ag 0.939 0.737 0.737 1
Cd2 Cd 0.607 0.217 0.217 1
Ag7 Ag 0.061 0.263 0.263 1
Ag8 Ag 0.666 0.155 0.649 1
Bi1 Bi 0.000 0.000 0.000 1
# V (Å³/atom): 20.4
# Fermi-level density of states (states/eV per cell): 2.537
# Space group: No. 12
# Energy relative to the elements (eV/atom): 0.0684

***

Record 10
# Er2SiTc3 PBE-GGA relaxed
data_Er2SiTc3
_chemical_formula_sum 'Er2 Si1 Tc3'
_space_group_name_H-M_alt 'P 1'
_space_group_IT_number 1
_cell_length_a 5.331
_cell_length_b 5.331
_cell_length_c 5.312
_cell_angle_alpha 89.99
_cell_angle_beta 120.13
_cell_angle_gamma 119.99
loop_
_space_group_symop_operation_xyz
'x,y,z'
loop_
_atom_site_label
_atom_site_type_symbol
_atom_site_fract_x
_atom_site_fract_y
_atom_site_fract_z
_atom_site_occupancy
Tc1 Tc 0.000 0.000 0.500 1
Si1 Si 0.000 0.000 0.000 1
Tc2 Tc 0.500 0.000 0.500 1
Er1 Er 0.247 0.623 0.870 1
Tc3 Tc 0.500 0.500 0.500 1
Er2 Er 0.753 0.377 0.130 1
# Raw formation energy (eV/atom): -0.43
# V (Å³/atom): 17.8
# Fermi-level density of states (states/eV per cell): 3.077
# Space group: No. 166

***

Record 11
# Cs2HfRuF6 PBE-GGA relaxed
data_Cs2HfRuF6
_chemical_formula_sum 'Cs2 Hf1 Ru1 F6'
_space_group_name_H-M_alt 'P 1'
_space_group_IT_number 1
_cell_length_a 5.920
_cell_length_b 5.920
_cell_length_c 7.394
_cell_angle_alpha 66.40
_cell_angle_beta 66.40
_cell_angle_gamma 90.00
loop_
_space_group_symop_operation_xyz
'x,y,z'
loop_
_atom_site_label
_atom_site_type_symbol
_atom_site_fract_x
_atom_site_fract_y
_atom_site_fract_z
_atom_site_occupancy
F1 F 0.760 0.760 0.000 1
F2 F 0.760 0.240 0.000 1
Cs1 Cs 0.250 0.750 0.500 1
F3 F 0.240 0.760 0.000 1
Hf1 Hf 0.000 0.000 0.000 1
F4 F 0.834 0.834 0.332 1
Cs2 Cs 0.750 0.250 0.500 1
F5 F 0.240 0.240 0.000 1
F6 F 0.166 0.166 0.668 1
Ru1 Ru 0.500 0.500 0.000 1
# Raw formation energy (eV/atom): -2.46
# V (Å³/atom): 21.4
# Fermi-level density of states (states/eV per cell): 0.000
# Space group: No. 139

***

Record 12
# Ho12NiAu6 PBE-GGA relaxed
data_Ho12NiAu6
_chemical_formula_sum 'Ho12 Ni1 Au6'
_space_group_name_H-M_alt 'P 1'
_space_group_IT_number 1
_cell_length_a 8.276
_cell_length_b 8.276
_cell_length_c 8.276
_cell_angle_alpha 98.67
_cell_angle_beta 98.67
_cell_angle_gamma 98.67
loop_
_space_group_symop_operation_xyz
'x,y,z'
loop_
_atom_site_label
_atom_site_type_symbol
_atom_site_fract_x
_atom_site_fract_y
_atom_site_fract_z
_atom_site_occupancy
Ho1 Ho 0.065 0.964 0.314 1
Ho2 Ho 0.421 0.818 0.572 1
Ho3 Ho 0.314 0.065 0.964 1
Ho4 Ho 0.818 0.572 0.421 1
Ho5 Ho 0.182 0.428 0.579 1
Au1 Au 0.868 0.375 0.695 1
Ho6 Ho 0.572 0.421 0.818 1
Au2 Au 0.375 0.695 0.868 1
Au3 Au 0.305 0.132 0.625 1
Ho7 Ho 0.686 0.935 0.036 1
Ho8 Ho 0.036 0.686 0.935 1
Ho9 Ho 0.579 0.182 0.428 1
Ni1 Ni 0.000 0.000 0.000 1
Au4 Au 0.625 0.305 0.132 1
Au5 Au 0.695 0.868 0.375 1
Ho10 Ho 0.935 0.036 0.686 1
Ho11 Ho 0.428 0.579 0.182 1
Ho12 Ho 0.964 0.314 0.065 1
Au6 Au 0.132 0.625 0.305 1
# V (Å³/atom): 28.7
# Fermi-level density of states (states/eV per cell): 19.981
# Space group: No. 148
# Energy relative to the elements (eV/atom): -0.4666

***

Record 13
# V8Ge2H PBE-GGA relaxed
data_V8Ge2H
_chemical_formula_sum 'V8 Ge2 H1'
_space_group_name_H-M_alt 'P 1'
_space_group_IT_number 1
_cell_length_a 4.215
_cell_length_b 5.095
_cell_length_c 7.290
_cell_angle_alpha 110.98
_cell_angle_beta 106.81
_cell_angle_gamma 90.00
loop_
_space_group_symop_operation_xyz
'x,y,z'
loop_
_atom_site_label
_atom_site_type_symbol
_atom_site_fract_x
_atom_site_fract_y
_atom_site_fract_z
_atom_site_occupancy
V1 V 0.622 0.008 0.244 1
V2 V 0.995 0.757 0.990 1
V3 V 0.587 0.483 0.175 1
V4 V 0.786 0.686 0.572 1
H1 H 0.500 0.000 0.000 1
V5 V 0.005 0.243 0.010 1
V6 V 0.378 0.992 0.756 1
V7 V 0.413 0.517 0.825 1
Ge1 Ge 0.175 0.754 0.349 1
Ge2 Ge 0.825 0.246 0.651 1
V8 V 0.214 0.314 0.428 1
# DFT total energy (eV per atom): -7.9019
# V (Å³/atom): 12.6
# Fermi-level density of states (states/eV per cell): 8.947
# Space group: No. 12

***

Record 14
# DyY2TlC PBE-GGA relaxed
data_DyY2TlC
_chemical_formula_sum 'Dy1 Y2 Tl1 C1'
_space_group_name_H-M_alt 'P 1'
_space_group_IT_number 1
_cell_length_a 4.930
_cell_length_b 4.929
_cell_length_c 4.929
_cell_angle_alpha 90.00
_cell_angle_beta 90.00
_cell_angle_gamma 90.00
loop_
_space_group_symop_operation_xyz
'x,y,z'
loop_
_atom_site_label
_atom_site_type_symbol
_atom_site_fract_x
_atom_site_fract_y
_atom_site_fract_z
_atom_site_occupancy
Y1 Y 0.000 0.500 0.000 1
C1 C 0.000 0.000 0.000 1
Dy1 Dy 0.500 0.000 0.000 1
Tl1 Tl 0.500 0.500 0.500 1
Y2 Y 0.000 0.000 0.500 1
# V (Å³/atom): 24.0
# Fermi-level density of states (states/eV per cell): 1.008
# Space group: No. 123
# Energy relative to the elements (eV/atom): -0.4797

***

Record 15
# KAg3Sb2 PBE-GGA relaxed
data_KAg3Sb2
_chemical_formula_sum 'K2 Ag6 Sb4'
_space_group_name_H-M_alt 'P 1'
_space_group_IT_number 1
_cell_length_a 4.631
_cell_length_b 9.015
_cell_length_c 8.534
_cell_angle_alpha 111.78
_cell_angle_beta 90.00
_cell_angle_gamma 104.89
loop_
_space_group_symop_operation_xyz
'x,y,z'
loop_
_atom_site_label
_atom_site_type_symbol
_atom_site_fract_x
_atom_site_fract_y
_atom_site_fract_z
_atom_site_occupancy
Ag1 Ag 0.414 0.828 0.341 1
K1 K 0.845 0.691 0.932 1
Ag2 Ag 0.691 0.382 0.461 1
Ag3 Ag 0.037 0.074 0.374 1
Sb1 Sb 0.184 0.369 0.676 1
Ag4 Ag 0.586 0.172 0.659 1
Sb2 Sb 0.471 0.942 0.818 1
Ag5 Ag 0.309 0.618 0.539 1
Ag6 Ag 0.963 0.926 0.626 1
Sb3 Sb 0.816 0.631 0.324 1
K2 K 0.155 0.309 0.068 1
Sb4 Sb 0.529 0.058 0.182 1
# Raw formation energy (eV/atom): -0.14
# V (Å³/atom): 26.5
# Fermi-level density of states (states/eV per cell): 3.810
# Space group: No. 12

***

Record 16
# La2HfBr PBE-GGA relaxed
data_La2HfBr
_chemical_formula_sum 'La2 Hf1 Br1'
_space_group_name_H-M_alt 'P 1'
_space_group_IT_number 1
_cell_length_a 3.457
_cell_length_b 3.457
_cell_length_c 11.359
_cell_angle_alpha 81.25
_cell_angle_beta 81.25
_cell_angle_gamma 60.00
loop_
_space_group_symop_operation_xyz
'x,y,z'
loop_
_atom_site_label
_atom_site_type_symbol
_atom_site_fract_x
_atom_site_fract_y
_atom_site_fract_z
_atom_site_occupancy
La1 La 0.908 0.908 0.276 1
Hf1 Hf 0.000 0.000 0.000 1
Br1 Br 0.500 0.500 0.500 1
La2 La 0.092 0.092 0.724 1
# Raw formation energy (eV/atom): -0.17
# V (Å³/atom): 28.9
# Fermi-level density of states (states/eV per cell): 5.325
# Space group: No. 166

***

Record 17
# KSrZr2 PBE-GGA relaxed
data_KSrZr2
_chemical_formula_sum 'K1 Sr1 Zr2'
_space_group_name_H-M_alt 'P 1'
_space_group_IT_number 1
_cell_length_a 6.400
_cell_length_b 6.400
_cell_length_c 7.711
_cell_angle_alpha 87.44
_cell_angle_beta 87.44
_cell_angle_gamma 29.23
loop_
_space_group_symop_operation_xyz
'x,y,z'
loop_
_atom_site_label
_atom_site_type_symbol
_atom_site_fract_x
_atom_site_fract_y
_atom_site_fract_z
_atom_site_occupancy
Sr1 Sr 0.750 0.750 0.750 1
Zr1 Zr 0.004 0.004 0.907 1
Zr2 Zr 0.496 0.496 0.593 1
K1 K 0.250 0.250 0.250 1
# V (Å³/atom): 38.5
# Fermi-level density of states (states/eV per cell): 6.593
# Space group: No. 12
# Energy relative to the elements (eV/atom): 0.7671